NaMo2AsO8 (PBE with a Hubbard U, optimized geometry); E = -77.87 eV for the cell shown; symmetry = C2/m, No. 12
1.0
-4.281 -1.911 -2.837
1.155 -4.292 -3.204
-1.512 -4.299 5.488
Na Mo As O
1 2 1 8
Cartesian
-0.756 -2.149 2.744 Na
-2.370 -5.005 -2.629 Mo
-2.267 -5.497 2.076 Mo
0.000 0.000 0.000 As
-4.026 -5.667 1.572 O
-2.496 -5.015 -4.428 O
-2.988 -6.511 -2.012 O
-1.650 -3.991 1.459 O
-2.141 -5.486 3.875 O
-1.268 -6.875 1.386 O
-3.369 -3.627 -1.939 O
-0.612 -4.835 -2.125 O